# 1
A plane-wave DFT calculation with PBE was carried out for a relaxed structure of AlNi4W.

Calculated values
The total energy is -6.72 eV/atom. The magnetic moment comes out at 0.32 μB/f.u. The value obtained for the formation energy is -0.088 eV/atom.

Lattice parameters (Å, degrees): 4.693 4.693 4.693 60.00 60.00 60.00
Last column: magnetic moment on the atom in μB.
Sites, in units of the cell vectors:
Al (0.000, 0.000, 0.000)  0.00
Ni (0.126, 0.625, 0.625)  0.07
Ni (0.625, 0.625, 0.126)  0.07
Ni (0.625, 0.126, 0.625)  0.07
Ni (0.625, 0.625, 0.625)  0.07
W (0.250, 0.250, 0.250)  0.03

# 2
A plane-wave DFT calculation with PBE was carried out for a relaxed structure of FeHgRu2.

Calculated values
The total energy is -6.21 eV/atom. The magnetic moment comes out at 4.86 μB/f.u. The value obtained for the formation energy is 0.614 eV/atom.

Lattice parameters (Å, degrees): 2.962 4.612 4.549 90.00 90.00 90.00
Last column: magnetic moment on the atom in μB.
Sites, in units of the cell vectors:
Ru (0.500, 0.500, 0.000)  0.78
Fe (0.500, 0.000, 0.500)  2.95
Hg (0.000, 0.500, 0.500)  0.00
Ru (0.000, 0.000, 0.000)  1.09

# 3
A plane-wave DFT calculation with PBE was carried out for a relaxed structure of CsBaSr2Pt.

Calculated values
The total energy is -2.77 eV/atom. The magnetic moment comes out at 0.00 μB/f.u. The value obtained for the formation energy is -0.332 eV/atom.

Lattice parameters (Å, degrees): 6.226 6.226 6.423 90.00 90.00 90.00
Sites, in units of the cell vectors:
Sr (0.000, 0.500, 0.000)
Ba (0.000, 0.000, 0.500)
Cs (0.500, 0.500, 0.500)
Pt (0.000, 0.000, 0.000)
Sr (0.500, 0.000, 0.000)

# 4
A plane-wave DFT calculation with PBE was carried out for a relaxed structure of Mg2CI.

Calculated values
The total energy is -3.24 eV/atom. For the formation energy without anion corrections, the calculation gives 0.249 eV/atom. The magnetic moment comes out at 1.00 μB/f.u.

Lattice parameters (Å, degrees): 6.153 6.153 6.713 62.73 62.73 90.00
Last column: magnetic moment on the atom in μB.
Sites, in units of the cell vectors:
I (0.750, 0.250, 0.500)  0.04
Mg (0.249, 0.625, 0.250)  0.02
Mg (0.375, 0.499, 0.750)  0.02
Mg (0.501, 0.125, 0.250)  0.01
C (0.500, 0.500, 0.000)  0.43
C (0.250, 0.750, 0.500)  0.43
Mg (0.875, 0.751, 0.750)  0.01
I (0.000, 0.000, 0.000)  0.04

# 5
A plane-wave DFT calculation with PBE was carried out for a relaxed structure of AgBrF4.

Calculated values
The total energy is -2.91 eV/atom. For the formation energy without anion corrections, the calculation gives -0.904 eV/atom. The magnetic moment comes out at 0.00 μB/f.u.

Lattice parameters (Å, degrees): 6.474 5.433 7.445 117.04 107.77 87.66
Sites, in units of the cell vectors:
Ag (0.308, 0.542, 0.124)
F (0.779, 0.106, 0.392)
F (0.046, 0.787, 0.140)
F (0.280, 0.382, 0.336)
Ag (0.692, 0.458, 0.876)
F (0.954, 0.213, 0.860)
F (0.221, 0.894, 0.608)
F (0.587, 0.346, 0.075)
Br (0.017, 0.244, 0.365)
Br (0.983, 0.756, 0.635)
F (0.720, 0.618, 0.664)
F (0.413, 0.654, 0.925)

# 6
A plane-wave DFT calculation with PBE was carried out for a relaxed structure of Ba2CoNi.

Calculated values
The total energy is -3.98 eV/atom. The magnetic moment comes out at 0.93 μB/f.u. The value obtained for the formation energy is 0.199 eV/atom.

Lattice parameters (Å, degrees): 4.249 4.475 7.208 71.96 90.00 90.00
Last column: magnetic moment on the atom in μB.
Sites, in units of the cell vectors:
Co (0.000, 0.653, 0.569)  1.12
Ba (0.500, 0.254, 0.366)  -0.08
Ba (0.000, 0.997, 0.880)  -0.08
Ni (0.500, 0.596, 0.685)  0.38

# 7
A plane-wave DFT calculation with PBE was carried out for a relaxed structure of ZnFeBr2.

Calculated values
The total energy is -3.01 eV/atom. For the formation energy without anion corrections, the calculation gives 0.265 eV/atom. The magnetic moment comes out at 3.16 μB/f.u.

Lattice parameters (Å, degrees): 6.389 8.300 3.577 114.66 56.57 140.03
Last column: magnetic moment on the atom in μB.
Sites, in units of the cell vectors:
Br (0.000, 0.000, 0.000)  0.03
Br (0.000, 0.500, 0.500)  0.03
Zn (0.500, 0.000, 0.500)  -0.02
Fe (0.500, 0.500, 0.000)  3.03

# 8
A plane-wave DFT calculation with PBE was carried out for a relaxed structure of NbMo2HIr.

Calculated values
The total energy is -8.84 eV/atom. The magnetic moment comes out at 0.00 μB/f.u.

Lattice parameters (Å, degrees): 4.052 4.052 4.036 90.00 90.00 90.00
Sites, in units of the cell vectors:
Mo (0.500, 0.000, 0.000)
Nb (0.500, 0.500, 0.500)
Ir (0.000, 0.000, 0.500)
H (0.000, 0.000, 0.000)
Mo (0.000, 0.500, 0.000)

# 9
A plane-wave DFT calculation with PBE was carried out for a relaxed structure of CsNaVN2.

Calculated values
The total energy is -6.02 eV/atom. For the formation energy without anion corrections, the calculation gives -0.434 eV/atom. The magnetic moment comes out at 0.96 μB/f.u.

Lattice parameters (Å, degrees): 5.303 7.062 5.974 90.00 90.00 112.05
Last column: magnetic moment on the atom in μB.
Sites, in units of the cell vectors:
V (0.750, 0.000, 0.000)  0.86
N (0.925, 0.850, 0.157)  -0.05
Na (0.500, 0.000, 0.500)  0.00
V (0.250, 0.000, 0.000)  0.86
N (0.425, 0.850, 0.843)  -0.05
Cs (0.250, 0.500, 0.224)  0.01
Na (0.000, 0.000, 0.500)  0.00
Cs (0.750, 0.500, 0.776)  0.01
N (0.075, 0.150, 0.843)  -0.05
N (0.575, 0.150, 0.157)  -0.05

# 10
A plane-wave DFT calculation with PBE was carried out for a relaxed structure of Hg12Pd5I3.

Calculated values
The total energy is -1.60 eV/atom. For the formation energy without anion corrections, the calculation gives 0.114 eV/atom. The magnetic moment comes out at 0.00 μB/f.u.

Lattice parameters (Å, degrees): 14.958 14.958 14.958 109.47 109.47 109.47
Sites, in units of the cell vectors:
Pd (0.125, 0.750, 0.375)
Hg (0.681, 0.482, 0.566)
I (0.750, 0.875, 0.625)
I (0.875, 0.125, 0.250)
I (0.125, 0.875, 0.750)
Pd (0.875, 0.625, 0.750)
Hg (0.319, 0.801, 0.385)
Pd (0.375, 0.250, 0.125)
Hg (0.518, 0.319, 0.934)
I (0.250, 0.125, 0.375)
I (0.750, 0.375, 0.125)
Pd (0.875, 0.250, 0.625)
Hg (0.934, 0.819, 0.518)
Hg (0.181, 0.115, 0.699)
Pd (0.250, 0.375, 0.625)
Hg (0.434, 0.018, 0.319)
Hg (0.885, 0.066, 0.584)
I (0.250, 0.625, 0.875)
Pd (0.250, 0.875, 0.125)
Hg (0.199, 0.681, 0.115)
Hg (0.434, 0.416, 0.615)
Hg (0.819, 0.885, 0.301)
Hg (0.584, 0.018, 0.199)
Hg (0.416, 0.434, 0.115)
Pd (0.125, 0.375, 0.250)
I (0.375, 0.625, 0.250)
Pd (0.000, 0.500, 0.500)
Hg (0.518, 0.199, 0.084)
Pd (0.750, 0.625, 0.375)
Hg (0.066, 0.885, 0.084)
Hg (0.681, 0.199, 0.615)
Hg (0.801, 0.482, 0.416)
Hg (0.115, 0.934, 0.416)
I (0.125, 0.250, 0.875)
I (0.875, 0.750, 0.125)
Pd (0.500, 0.000, 0.000)
Hg (0.584, 0.566, 0.885)
Pd (0.625, 0.875, 0.250)
Hg (0.181, 0.066, 0.982)
I (0.625, 0.375, 0.750)
Hg (0.699, 0.084, 0.018)
Hg (0.482, 0.801, 0.916)
Hg (0.199, 0.518, 0.584)
Pd (0.500, 0.500, 0.000)
Hg (0.084, 0.385, 0.066)
Hg (0.916, 0.615, 0.934)
Pd (0.000, 0.000, 0.000)
Hg (0.301, 0.385, 0.819)
Pd (0.500, 0.000, 0.500)
Hg (0.115, 0.181, 0.199)
Hg (0.934, 0.115, 0.916)
Pd (0.750, 0.125, 0.875)
Hg (0.301, 0.916, 0.982)
I (0.625, 0.250, 0.375)
Hg (0.482, 0.681, 0.066)
Hg (0.615, 0.916, 0.434)
Hg (0.699, 0.615, 0.181)
Hg (0.885, 0.819, 0.801)
Hg (0.084, 0.699, 0.518)
Hg (0.018, 0.434, 0.819)
Hg (0.319, 0.518, 0.434)
Pd (0.375, 0.125, 0.750)
Hg (0.385, 0.084, 0.566)
Hg (0.982, 0.566, 0.181)
Hg (0.566, 0.982, 0.681)
Hg (0.018, 0.584, 0.699)
Hg (0.385, 0.301, 0.319)
Hg (0.566, 0.584, 0.385)
I (0.375, 0.750, 0.625)
Hg (0.615, 0.699, 0.681)
Pd (0.625, 0.750, 0.875)
Hg (0.982, 0.416, 0.301)
Pd (0.000, 0.000, 0.500)
Pd (0.500, 0.500, 0.500)
Hg (0.066, 0.181, 0.482)
Hg (0.819, 0.934, 0.018)
Hg (0.416, 0.982, 0.801)
Pd (0.000, 0.500, 0.000)
Hg (0.916, 0.301, 0.482)
Hg (0.801, 0.319, 0.885)

# 11
A plane-wave DFT calculation with PBE was carried out for a relaxed structure of BaZr2Sc2.

Calculated values
The total energy is -5.86 eV/atom. The magnetic moment comes out at 0.00 μB/f.u. The value obtained for the formation energy is 0.479 eV/atom.

Lattice parameters (Å, degrees): 4.279 4.279 8.725 75.81 75.81 90.00
Sites, in units of the cell vectors:
Zr (0.750, 0.250, 0.500)
Ba (0.000, 0.000, 0.000)
Sc (0.612, 0.612, 0.776)
Sc (0.388, 0.388, 0.224)
Zr (0.250, 0.750, 0.500)

# 12
A plane-wave DFT calculation with PBE was carried out for a relaxed structure of Ho4Fe.

Calculated values
The total energy is -4.94 eV/atom. The magnetic moment comes out at 0.00 μB/f.u. The value obtained for the formation energy is 0.417 eV/atom.

Lattice parameters (Å, degrees): 7.380 7.380 7.380 60.00 60.00 60.00
Sites, in units of the cell vectors:
Ho (0.907, 0.364, 0.364)
Ho (0.364, 0.364, 0.364)
Ho (0.343, 0.886, 0.886)
Fe (0.500, 0.500, 0.500)
Ho (0.364, 0.907, 0.364)
Ho (0.886, 0.886, 0.886)
Ho (0.886, 0.343, 0.886)
Fe (0.750, 0.750, 0.750)
Ho (0.364, 0.364, 0.907)
Ho (0.886, 0.886, 0.343)

# 13
A plane-wave DFT calculation with PBE was carried out for a relaxed structure of TlTc2Rh.

Calculated values
The total energy is -7.19 eV/atom. The magnetic moment comes out at 0.00 μB/f.u. The value obtained for the formation energy is 0.425 eV/atom.

Lattice parameters (Å, degrees): 5.154 5.154 5.154 136.30 136.28 63.53
Sites, in units of the cell vectors:
Tc (0.000, 0.000, 0.000)
Tl (0.750, 0.250, 0.500)
Rh (0.250, 0.750, 0.500)
Tc (0.500, 0.500, 0.000)

# 14
A plane-wave DFT calculation with PBE was carried out for a relaxed structure of Nd4Ge2I3.

Calculated values
The total energy is -4.52 eV/atom. For the formation energy without anion corrections, the calculation gives -0.857 eV/atom. The magnetic moment comes out at 0.00 μB/f.u.

Lattice parameters (Å, degrees): 6.039 10.352 10.352 82.48 86.99 86.99
Sites, in units of the cell vectors:
Nd (0.050, 0.800, 0.599)
Nd (0.494, 0.926, 0.328)
Nd (0.994, 0.328, 0.926)
I (0.489, 0.210, 0.973)
I (0.011, 0.027, 0.790)
Nd (0.506, 0.074, 0.672)
Nd (0.450, 0.401, 0.200)
Ge (0.941, 0.403, 0.184)
Ge (0.059, 0.597, 0.816)
I (0.750, 0.365, 0.635)
I (0.511, 0.790, 0.027)
Ge (0.559, 0.816, 0.597)
I (0.250, 0.635, 0.365)
Nd (0.550, 0.599, 0.800)
Ge (0.441, 0.184, 0.403)
I (0.989, 0.973, 0.210)
Nd (0.006, 0.672, 0.074)
Nd (0.950, 0.200, 0.401)

# 15
A plane-wave DFT calculation with PBE was carried out for a relaxed structure of LiLaCu2.

Calculated values
The total energy is -3.70 eV/atom. The magnetic moment comes out at 0.00 μB/f.u. The value obtained for the formation energy is 0.055 eV/atom.

Lattice parameters (Å, degrees): 4.731 4.731 4.731 60.00 60.00 60.00
Sites, in units of the cell vectors:
Cu (0.000, 0.000, 0.000)
La (0.500, 0.500, 0.500)
Cu (0.250, 0.250, 0.250)
Li (0.750, 0.750, 0.750)